1.
The following is a DFT calculation (PBE) of a geometry-optimized KLaWN3 structure.

a = 14.1425 Å, b = 3.9667 Å, c = 8.0335 Å
α = 90.00°, β = 105.55°, γ = 90.00°
Closest atoms and distances in Å follow each position.
Space group C2/m (No. 12)
Inequivalent atoms, fractional coordinates:
K 0.1397 0.0000 0.0669 x4  6 N 2.95-3.22
La 0.1650 0.0000 0.6046 x4  7 N 2.50-2.79
W 0.0092 0.5000 0.3247 x4  4 N 1.93-1.99
N 0.0123 0.0000 0.3438 x4  2 W 1.99
N 0.1290 0.5000 0.7909 x4  1 W 1.93
N 0.1532 0.5000 0.3549 x4  1 W 1.98

Computed properties:
Calculated density: 6.18 g/cm3
ΔE_f (raw): -0.597 eV per atom

2.
The following is a DFT calculation (PBE) of a geometry-optimized KLaWN2 structure.

a = 4.4539 Å, b = 4.4539 Å, c = 5.2505 Å
α = 90.00°, β = 90.00°, γ = 90.00°
Closest atoms and distances in Å follow each position.
Space group P4/mmm (No. 123)
Inequivalent atoms, fractional coordinates:
K 0.0000 0.0000 0.0000 x1  4 N 2.23
La 0.0000 0.0000 0.5000 x1  2 K 2.63
W 0.5000 0.5000 0.5000 x1  4 La 3.15, 8 N 3.44
N 0.0000 0.5000 0.0000 x2  2 K 2.23

Computed properties:
Calculated density: 6.22 g/cm3
ΔE_f (raw): 2.965 eV per atom
Fermi-level density of states: 6.48 states/eV/cell

- ΔE_f (raw) of number 2 (KLaWN2)?
  2.965 eV per atom